(1)
VASP calculation (PBE) on MgZrAu6 after structural relaxation.

Lattice parameters (Å, degrees): 5.0751 5.0751 8.4033 114.45 114.45 49.51
With the nearest neighbours (Å) after each atom.
Atoms (fractional coordinates):
Mg  0.0000  0.0000  0.0000  12 Au 2.93-2.99
Zr  0.0000  0.0000  0.5000  12 Au 2.94-2.99
Au  0.2499  0.2499  0.3743  8 Au 2.93-3.00, 1 Mg 2.93, 3 Zr 2.94-2.95
Au  0.2503  0.2503  0.8764  8 Au 2.92-2.99, 3 Mg 2.93-2.95, 1 Zr 2.95
Au  0.4987  0.4987  0.2492  8 Au 2.92-2.96, 2 Mg 2.99, 2 Zr 2.99
Au  0.5013  0.5013  0.7508  8 Au 2.92-2.96, 2 Mg 2.99, 2 Zr 2.99
Au  0.7497  0.7497  0.1236  8 Au 2.92-2.99, 3 Mg 2.93-2.95, 1 Zr 2.95
Au  0.7501  0.7501  0.6257  8 Au 2.93-3.00, 1 Mg 2.93, 3 Zr 2.94-2.95

Computed properties:
Space-group type   C2/m
VASP energy   -4.154 eV/atom
Energy of formation from the pure elements   -41.28 kJ per mole of atoms
N(E_F)   2.88 states/eV per cell
Magnetic moment   0.00 μB per formula unit


(2)
VASP calculation (PBE) on Mg2ZrAu after structural relaxation.

Lattice parameters (Å, degrees): 5.3285 5.3285 5.2511 104.45 104.45 35.32
With the nearest neighbours (Å) after each atom.
Atoms (fractional coordinates):
Mg  0.0000  0.0000  0.0000  2 Au 2.88, 3 Mg 2.89-3.05, 4 Zr 3.08-3.13
Mg  0.2385  0.2385  0.7981  5 Mg 2.89-3.23, 4 Au 3.06-3.11, 1 Zr 3.19
Zr  0.4658  0.4658  0.4773  3 Au 2.90-3.00, 5 Mg 3.08-3.19, 2 Zr 3.23
Au  0.7227  0.7227  0.2954  6 Mg 2.88-3.11, 3 Zr 2.90-3.00

Computed properties:
Space-group type   Cm
ΔE to the lowest computed polymorph   99.8 meV per atom
VASP energy   -3.932 eV/atom
Energy of formation from the pure elements   -17.21 kJ per mole of atoms
N(E_F)   3.12 states/eV per cell
Magnetic moment   0.00 μB per formula unit


Q: What is the formula in the second record?
A: Mg2ZrAu